[1]
Compound: NdZnRh
Source: Alexandria via LeMat-Bulk
Functional: GGA-PBE
Structure: optimized geometry

Lattice parameters (Å, degrees): 5.5925 5.5925 5.5925 143.94 143.94 51.91
Element x y z (fractional)
Nd (0.0000, 0.0000, 0.0000)
Zn (0.2960, 0.2960, 0.0000)
Rh (0.6841, 0.6841, 0.0000)

## Properties
E_form	-41.3	kJ/mol of atoms

---

[2]
Compound: YLuAlNi
Source: Alexandria via LeMat-Bulk
Functional: GGA-PBE
Structure: optimized geometry

Lattice parameters (Å, degrees): 4.9214 4.9214 4.9214 60.00 60.00 60.00
Element x y z (fractional)
Y (0.0000, 0.0000, 0.0000)
Lu (0.5000, 0.5000, 0.5000)
Al (0.2500, 0.2500, 0.2500)
Ni (0.7500, 0.7500, 0.7500)

## Properties
E_form	-33.2	kJ/mol of atoms

---

[3]
Compound: LaOF
Source: Alexandria via LeMat-Bulk
Functional: GGA-PBE
Structure: optimized geometry

Lattice parameters (Å, degrees): 3.8287 3.8287 4.9143 90.00 90.00 120.00
Element x y z (fractional)
La (0.0000, 0.0000, 0.0000)
O (0.3333, 0.6667, 0.8560)
F (0.6667, 0.3333, 0.2522)

## Properties
raw formation energy	-3.608	eV/atom

---

[4]
Compound: Hg2H2Pd
Source: Alexandria via LeMat-Bulk
Functional: GGA-PBE
Structure: optimized geometry

Lattice parameters (Å, degrees): 5.4941 5.4941 4.7203 90.00 90.00 90.00
Element x y z (fractional)
Hg (0.1839, 0.3161, 0.0000)
Hg (0.3161, 0.8161, 0.0000)
Hg (0.6839, 0.1839, 0.0000)
Hg (0.8161, 0.6839, 0.0000)
H (0.2440, 0.2560, 0.5000)
H (0.2560, 0.7560, 0.5000)
H (0.7440, 0.2440, 0.5000)
H (0.7560, 0.7440, 0.5000)
Pd (0.0000, 0.0000, 0.5000)
Pd (0.5000, 0.5000, 0.5000)

---

[5]
Compound: LaSmTh2Se4
Source: Alexandria via LeMat-Bulk
Functional: GGA-PBE
Structure: optimized geometry

Lattice parameters (Å, degrees): 7.2307 4.2333 7.3765 90.00 109.49 90.00
Element x y z (fractional)
La (0.0000, 0.0000, 0.0000)
Sm (0.5000, 0.5000, 0.0000)
Th (0.0000, 0.5000, 0.5000)
Th (0.5000, 0.0000, 0.5000)
Se (0.2552, 0.0000, 0.7524)
Se (0.2549, 0.5000, 0.2505)
Se (0.7448, 0.0000, 0.2476)
Se (0.7451, 0.5000, 0.7495)

## Properties
raw formation energy	-1.713	eV/atom

---

[6]
Compound: Pm2Nd3Mg2
Source: Alexandria via LeMat-Bulk
Functional: GGA-PBE
Structure: optimized geometry

Lattice parameters (Å, degrees): 15.7785 15.7785 3.7491 90.00 90.00 166.01
Element x y z (fractional)
Pm (0.2050, 0.7950, 0.0000)
Pm (0.7950, 0.2050, 0.0000)
Nd (0.0812, 0.9188, 0.0000)
Nd (0.5000, 0.5000, 0.5000)
Nd (0.9188, 0.0812, 0.0000)
Mg (0.3565, 0.6435, 0.5000)
Mg (0.6435, 0.3565, 0.5000)

## Properties
E_form	3.1	kJ/mol of atoms

---

Number 1: D(E_F) 2.86 states/eV/cell, calculated total energy -4.89 eV/atom. Number 2: D(E_F) 3.51 states/eV/cell, calculated total energy -5.47 eV/atom. Number 3: D(E_F) 0.00 states/eV/cell, calculated total energy -7.53 eV/atom. Number 4: D(E_F) 1.99 states/eV/cell, calculated total energy -2.27 eV/atom. Number 5: D(E_F) 5.20 states/eV/cell, calculated total energy -6.52 eV/atom. Number 6: D(E_F) 7.33 states/eV/cell, calculated total energy -3.82 eV/atom.